[1]
# SrLaCd2Ir

A relaxed SrLaCd2Ir crystal (PBE-GGA, the Alexandria database).

Cell and atoms, written as extended XYZ:
```
5
Lattice="5.4462 0.0000 0.0000 0.0000 5.4462 0.0000 0.0000 0.0000 5.2557" Properties=species:S:1:pos:R:3 pbc="T T T"
Cd 0.0000 2.7231 0.0000
Cd 2.7231 0.0000 0.0000
Ir 0.0000 0.0000 0.0000
Sr 2.7231 2.7231 2.6279
La 0.0000 0.0000 2.6279
```

**ΔE_f**: -26 kJ/mol of atoms
**D(E_F)**: 3.66 states/eV/cell
**Magnetic moment**: 0.00 Bohr magnetons per cell

---

[2]
# SrLaCdIr

A relaxed SrLaCdIr crystal (PBE-GGA, the Alexandria database).

Cell and atoms, written as extended XYZ:
```
4
Lattice="-4.1814 -3.2367 -0.4170 0.6551 -5.2467 0.4214 -1.8068 -2.5632 4.2779" Properties=species:S:1:pos:R:3 pbc="T T T"
Cd -3.9998 -8.2850 3.2118
Ir -1.3333 -2.7617 1.0706
Sr 0.0000 0.0000 0.0000
La -2.6666 -5.5233 2.1412
```

**ΔE_f**: -26 kJ/mol of atoms
**D(E_F)**: 3.60 states/eV/cell
**Magnetic moment**: 0.00 Bohr magnetons per cell

---

[3]
# LaTbCdIr

A relaxed LaTbCdIr crystal (PBE-GGA, the Alexandria database).

Cell and atoms, written as extended XYZ:
```
4
Lattice="-4.3657 2.6351 -0.9237 -1.5029 0.8961 -4.8780 -4.1441 -2.4447 -1.9251" Properties=species:S:1:pos:R:3 pbc="T T T"
Cd -7.5095 0.8149 -5.7951
Ir -2.5032 0.2716 -1.9317
Tb -5.0063 0.5433 -3.8634
La 0.0000 0.0000 0.0000
```

**ΔE_f**: -44 kJ/mol of atoms
**D(E_F)**: 2.30 states/eV/cell
**Magnetic moment**: 0.00 Bohr magnetons per cell

---

[4]
# LaTlCd2Ir

A relaxed LaTlCd2Ir crystal (PBE-GGA, the Alexandria database).

Cell and atoms, written as extended XYZ:
```
5
Lattice="-4.7941 -1.9834 1.2336 2.3309 -4.2434 2.2359 0.1491 2.5322 4.6504" Properties=species:S:1:pos:R:3 pbc="T T T"
Cd 1.1654 -2.1217 1.1179
Cd -2.3970 -0.9917 0.6168
Tl -1.1570 -1.8473 4.0600
Ir 0.0000 0.0000 0.0000
La 0.0745 1.2661 2.3252
```

**ΔE_f**: -18 kJ/mol of atoms
**D(E_F)**: 3.87 states/eV/cell
**Magnetic moment**: 0.00 Bohr magnetons per cell